Entry 1:
# PBE-GGA Li2ErZn9, relaxed
data_Li2ErZn9
_symmetry_space_group_name_H-M 'R -3 m'
_symmetry_Int_Tables_number 166
_symmetry_space_group_name_Hall '-R 3 2"'
_cell_length_a 5.2362
_cell_length_b 5.2362
_cell_length_c 24.9707
_cell_angle_alpha 90.00
_cell_angle_beta 90.00
_cell_angle_gamma 120.00
loop_
_atom_site_label
_atom_site_type_symbol
_atom_site_fract_x
_atom_site_fract_y
_atom_site_fract_z
Li1 Li 0.0000 0.0000 0.1434
Er1 Er 0.0000 0.0000 0.0000
Zn1 Zn 0.0000 0.0000 0.3342
Zn2 Zn 0.0000 0.0000 0.5000
Zn3 Zn 0.0061 0.5030 0.9143
# ΔE_f: -0.205 eV per atom
# density of states at the Fermi level: 4.28 states/eV/f.u.
# E_tot: -1.860 eV per atom

---

Entry 2:
# PBE-GGA CaNi6Ge2, relaxed
data_CaNi6Ge2
_symmetry_space_group_name_H-M 'C 1 2/m 1'
_symmetry_Int_Tables_number 12
_cell_length_a 9.103
_cell_length_b 6.970
_cell_length_c 4.260
_cell_angle_alpha 90.00
_cell_angle_beta 95.57
_cell_angle_gamma 90.00
loop_
_symmetry_equiv_pos_as_xyz
'x,y,z'
'-x,-y,-z'
'-x,y,-z'
'x,-y,z'
'x+1/2,y+1/2,z'
'-x+1/2,-y+1/2,-z'
'-x+1/2,y+1/2,-z'
'x+1/2,-y+1/2,z'
loop_
_atom_site_label
_atom_site_type_symbol
_atom_site_fract_x
_atom_site_fract_y
_atom_site_fract_z
Ca1 Ca 0.000 0.000 0.000
Ni1 Ni 0.000 0.303 0.500
Ni2 Ni 0.234 0.327 0.251
Ge1 Ge 0.178 0.500 0.758
# distance to the lowest polymorph of the same formula: 139 meV/atom
# ΔE_f: -0.099 eV per atom
# density of states at the Fermi level: 8.06 states/eV/f.u.
# E_tot: -5.202 eV per atom

---

Entry 3:
# PBE-GGA Al2HgBr, relaxed
data_Al2HgBr
_symmetry_space_group_name_H-M 'I m m m'
_symmetry_Int_Tables_number 71
_symmetry_space_group_name_Hall '-I 2 2'
_cell_length_a 3.395
_cell_length_b 5.633
_cell_length_c 9.653
_cell_angle_alpha 90.00
_cell_angle_beta 90.00
_cell_angle_gamma 90.00
loop_
_atom_site_label
_atom_site_type_symbol
_atom_site_fract_x
_atom_site_fract_y
_atom_site_fract_z
Al1 Al 0.000 0.000 0.250
Hg1 Hg 0.000 0.500 0.000
Br1 Br 0.000 0.500 0.500
# distance to the lowest polymorph of the same formula: 135 meV/atom
# density of states at the Fermi level: 1.36 states/eV/f.u.
# E_tot: -2.237 eV per atom

---

Entry 4:
# PBE-GGA Na2Hg4H, relaxed
data_Na2Hg4H
_symmetry_space_group_name_H-M 'I 4/m m m'
_symmetry_Int_Tables_number 139
_symmetry_space_group_name_Hall '-I 4 2'
_cell_length_a 5.015
_cell_length_b 5.015
_cell_length_c 14.828
_cell_angle_alpha 90.00
_cell_angle_beta 90.00
_cell_angle_gamma 90.00
loop_
_atom_site_label
_atom_site_type_symbol
_atom_site_fract_x
_atom_site_fract_y
_atom_site_fract_z
Na1 Na 0.000 0.000 0.151
Hg1 Hg 0.000 0.000 0.355
Hg2 Hg 0.000 0.500 0.000
H1 H 0.000 0.000 0.500
# density of states at the Fermi level: 2.86 states/eV/f.u.
# E_tot: -1.008 eV per atom

---

> Among the records above, which one has the highest E_tot?

Na2Hg4H

---

> The lowest density of states at the Fermi level belongs to which entry?

Al2HgBr

---

> What is the density of states at the Fermi level in the first record?

4.28 states/eV/f.u.

---

> E_tot of number 4 (Na2Hg4H)?

-1.008 eV per atom